[1]
Density functional theory data (PBE-GGA) for a relaxed structure of AlSnS2O8.

```
12
Lattice="4.761 -0.055 -0.374 2.147 4.250 -0.374 -0.304 -0.184 9.283" Properties=species:S:1:pos:R:3 pbc="T T T"
Al 0.000 0.000 0.000
Sn -0.152 -0.092 4.642
S 4.600 2.793 1.037
S 2.005 1.217 7.499
O 3.376 0.638 7.598
O 5.413 3.286 -0.095
O 5.165 3.136 2.342
O 1.439 0.874 6.193
O 1.192 0.724 8.630
O 2.124 2.701 7.598
O 4.481 1.309 0.937
O 3.229 3.372 0.937
```

Summary:
**Calculated density**: 2.980 g/cm3
**Calculated total energy**: -6.147 eV/atom
**Size of the total moment**: 0.565 μB per cell
**Symmetry**: C2/m, No. 12



[2]
Density functional theory data (PBE-GGA) for a relaxed structure of HgOs2Cl.

```
4
Lattice="-0.020 -2.878 -0.301 2.892 -0.030 0.100 -0.319 -0.936 8.966" Properties=species:S:1:pos:R:3 pbc="T T T"
Cl -0.135 -0.398 3.810
Hg 1.180 -2.206 7.094
Os -0.015 -0.045 0.432
Os 1.365 -1.664 1.910
```

Summary:
**Calculated density**: 13.554 g/cm3
**Energy above the lowest structure with this stoichiometry**: 10.5 kJ per mole of atoms
**Size of the total moment**: 0.000 μB per cell
**Symmetry**: P4mm, No. 99



[3]
Density functional theory data (PBE-GGA) for a relaxed structure of TmNi4Ge4.

```
18
Lattice="-1.993 -2.441 3.342 6.081 1.745 4.901 -3.875 6.551 2.475" Properties=species:S:1:pos:R:3 pbc="T T T"
Tm 0.000 0.000 0.000
Tm 0.107 2.927 5.359
Ni 2.819 2.291 6.512
Ni -2.605 3.563 4.206
Ni 2.357 5.822 5.659
Ni -3.155 3.473 6.970
Ni 1.376 -0.061 7.090
Ni 0.257 0.454 3.642
Ni -0.043 5.401 7.076
Ni -0.150 2.473 1.717
Ge -2.086 5.200 5.712
Ge -1.627 4.412 8.567
Ge 2.299 0.655 5.006
Ge -1.682 4.278 2.122
Ge 1.948 4.369 7.510
Ge 3.889 4.018 5.254
Ge -0.152 -0.999 5.493
Ge -1.734 1.485 3.208
```

Summary:
**Calculated density**: 7.837 g/cm3
**Calculated total energy**: -5.383 eV/atom
**Size of the total moment**: 0.000 μB per cell
**Symmetry**: I4/m, No. 87



[4]
Density functional theory data (PBE-GGA) for a relaxed structure of Ho6Sn3Ir.

```
20
Lattice="6.147 0.000 0.122 0.000 8.625 0.000 0.199 0.000 10.640" Properties=species:S:1:pos:R:3 pbc="T T T"
Ho 4.011 1.370 10.103
Ho 3.810 1.696 6.058
Ho 3.976 3.878 2.894
Ho 2.371 4.747 7.868
Ho 2.536 6.930 4.704
Ho 2.335 7.256 0.659
Ho 0.838 2.943 4.722
Ho 0.637 2.617 0.677
Ho 1.002 0.434 8.153
Ho 5.345 8.191 2.609
Ho 5.709 6.008 10.085
Ho 5.508 5.682 6.040
Sn 3.835 7.656 7.913
Sn 3.074 4.313 0.061
Sn 2.511 0.970 2.849
Sn 0.662 5.282 2.532
Sn 0.100 0.000 5.320
Sn 5.684 3.343 8.230
Ir 3.173 4.313 5.381
Ir 0.000 0.000 0.000
```

Summary:
**Calculated density**: 9.057 g/cm3
**Calculated total energy**: -5.422 eV/atom
**Size of the total moment**: 0.000 μB per cell
**Symmetry**: P2_1/c, No. 14



[5]
Density functional theory data (PBE-GGA) for a relaxed structure of HfTi2Br.

```
4
Lattice="0.000 3.344 3.344 3.344 0.000 3.344 3.344 3.344 0.000" Properties=species:S:1:pos:R:3 pbc="T T T"
Hf 3.344 3.344 3.344
Br 0.000 0.000 0.000
Ti 1.672 1.672 1.672
Ti 5.017 5.017 5.017
```

Summary:
**Calculated density**: 7.860 g/cm3
**Energy above the lowest structure with this stoichiometry**: 18.7 kJ per mole of atoms
**Size of the total moment**: 0.000 μB per cell
**Symmetry**: Fm-3m, No. 225



[6]
Density functional theory data (PBE-GGA) for a relaxed structure of KSb2Se.

```
4
Lattice="-3.570 0.171 -0.923 0.663 -2.109 -2.956 -1.550 -7.061 4.692" Properties=species:S:1:pos:R:3 pbc="T T T"
K -2.566 -6.037 1.427
Sb -0.066 -0.300 0.200
Sb -1.880 -2.909 -0.650
Se -0.721 -3.284 2.182
```

Summary:
**Calculated density**: 5.113 g/cm3
**Energy above the lowest structure with this stoichiometry**: 17.8 kJ per mole of atoms
**Size of the total moment**: 0.000 μB per cell
**Symmetry**: P4mm, No. 99



[7]
Density functional theory data (PBE-GGA) for a relaxed structure of TbPmSc6.

```
8
Lattice="-0.868 -1.691 -4.982 -4.844 -4.203 2.271 -1.603 6.341 -1.872" Properties=species:S:1:pos:R:3 pbc="T T T"
Tb -3.389 1.100 -2.636
Pm -1.873 5.463 -1.527
Sc -1.020 2.300 -0.603
Sc -4.332 3.399 -0.398
Sc -3.505 0.152 0.559
Sc -2.639 -2.078 -1.688
Sc -5.772 -1.039 -1.495
Sc -4.994 -4.122 -0.584
```

Summary:
**Calculated density**: 4.457 g/cm3
**Calculated total energy**: -5.905 eV/atom
**Size of the total moment**: 1.701 μB per cell
**Symmetry**: Amm2, No. 38



[8]
Density functional theory data (PBE-GGA) for a relaxed structure of VCl.

```
16
Lattice="10.964 0.000 0.000 0.000 10.964 0.000 0.000 0.000 3.192" Properties=species:S:1:pos:R:3 pbc="T T T"
V 8.681 4.323 1.596
V 2.283 6.641 1.596
V 6.641 8.681 1.596
V 4.323 2.283 1.596
V 9.731 5.735 0.000
V 1.234 5.229 0.000
V 5.229 9.731 0.000
V 5.735 1.234 0.000
Cl 8.221 6.751 1.596
Cl 2.743 4.213 1.596
Cl 4.213 8.221 1.596
Cl 6.751 2.743 1.596
Cl 10.218 3.374 0.000
Cl 0.746 7.590 0.000
Cl 7.590 10.218 0.000
Cl 3.374 0.746 0.000
```

Summary:
**Calculated density**: 2.991 g/cm3
**Calculated total energy**: -5.751 eV/atom
**Size of the total moment**: 4.088 μB per cell
**Symmetry**: P4/m, No. 83



Q: Which value of size of the total moment does entry 5 give?
A: 0.000 μB per cell



Q: What is the size of the total moment in the second record?
A: 0.000 μB per cell



Q: calculated density of number 7 (TbPmSc6)?
A: 4.457 g/cm3



Repeat the fourth record exactly.
Density functional theory data (PBE-GGA) for a relaxed structure of Ho6Sn3Ir.

```
20
Lattice="6.147 0.000 0.122 0.000 8.625 0.000 0.199 0.000 10.640" Properties=species:S:1:pos:R:3 pbc="T T T"
Ho 4.011 1.370 10.103
Ho 3.810 1.696 6.058
Ho 3.976 3.878 2.894
Ho 2.371 4.747 7.868
Ho 2.536 6.930 4.704
Ho 2.335 7.256 0.659
Ho 0.838 2.943 4.722
Ho 0.637 2.617 0.677
Ho 1.002 0.434 8.153
Ho 5.345 8.191 2.609
Ho 5.709 6.008 10.085
Ho 5.508 5.682 6.040
Sn 3.835 7.656 7.913
Sn 3.074 4.313 0.061
Sn 2.511 0.970 2.849
Sn 0.662 5.282 2.532
Sn 0.100 0.000 5.320
Sn 5.684 3.343 8.230
Ir 3.173 4.313 5.381
Ir 0.000 0.000 0.000
```

Summary:
**Calculated density**: 9.057 g/cm3
**Calculated total energy**: -5.422 eV/atom
**Size of the total moment**: 0.000 μB per cell
**Symmetry**: P2_1/c, No. 14